1.
The following is a DFT calculation (GGA+U) of crystalline Li7Mn2Co3O12 at its relaxed geometry.

a = 5.111 Å, b = 5.854 Å, c = 7.600 Å
α = 78.80°, β = 77.14°, γ = 73.12°
Sites, in units of the cell vectors:
Li (0.491, 0.828, 0.176)
Li (0.494, 0.332, 0.174)
Li (0.504, 0.506, 0.492)
Li (0.508, 0.995, 0.493)
Li (0.501, 0.172, 0.832)
Li (0.498, 0.664, 0.834)
Li (0.000, 0.669, 0.333)
Mn (0.002, 0.997, 0.005)
Mn (0.001, 0.834, 0.662)
Co (0.993, 0.501, 0.017)
Co (0.999, 0.162, 0.333)
Co (0.006, 0.343, 0.653)
O (0.226, 0.159, 0.089)
O (0.233, 0.683, 0.075)
O (0.225, 0.850, 0.428)
O (0.224, 0.319, 0.423)
O (0.226, 0.518, 0.749)
O (0.222, 0.998, 0.757)
O (0.768, 0.480, 0.245)
O (0.777, 0.009, 0.238)
O (0.774, 0.150, 0.576)
O (0.768, 0.675, 0.596)
O (0.779, 0.841, 0.913)
O (0.781, 0.316, 0.910)


2.
The following is a DFT calculation (GGA+U) of crystalline Li7Mn2Co3O12 at its relaxed geometry.

a = 5.156 Å, b = 5.039 Å, c = 8.626 Å
α = 72.15°, β = 85.42°, γ = 82.28°
Sites, in units of the cell vectors:
Li (0.258, 0.420, 0.092)
Li (0.751, 0.583, 0.924)
Li (0.240, 0.753, 0.752)
Li (0.258, 0.080, 0.407)
Li (0.738, 0.246, 0.250)
Li (0.760, 0.916, 0.577)
Li (0.499, 0.829, 0.170)
Mn (0.998, 0.998, 0.002)
Mn (0.001, 0.337, 0.665)
Co (0.499, 0.165, 0.837)
Co (0.500, 0.505, 0.494)
Co (0.998, 0.666, 0.332)
O (0.098, 0.026, 0.203)
O (0.643, 0.191, 0.025)
O (0.107, 0.363, 0.870)
O (0.110, 0.690, 0.544)
O (0.627, 0.845, 0.383)
O (0.641, 0.506, 0.701)
O (0.353, 0.831, 0.954)
O (0.889, 0.976, 0.792)
O (0.359, 0.161, 0.635)
O (0.376, 0.463, 0.306)
O (0.898, 0.644, 0.123)
O (0.897, 0.306, 0.463)


Most stable = 1